Here is an optimized crystal structure of CsMgB2 from Alexandria via LeMat-Bulk. Energies are from PBE.

formation energy from the elements	1445	meV per atom
space-group type	I4_1/amd

a = 4.630 Å, b = 4.630 Å, c = 9.033 Å
α = 75.15°, β = 75.15°, γ = 90.00°
Fractional coordinates of all 8 atoms:
B1 0.375 0.625 0.250
Cs1 0.750 0.250 0.500
B2 0.375 0.625 0.750
Mg1 0.500 0.500 0.000
Cs2 0.000 0.000 0.000
B3 0.375 0.125 0.250
Mg2 0.250 0.750 0.500
B4 0.875 0.625 0.750



Here is an optimized crystal structure of SrNiHg from Alexandria via LeMat-Bulk. Energies are from PBE.

formation energy from the elements	-200	meV per atom
space-group type	P-6m2

a = 4.516 Å, b = 4.516 Å, c = 4.319 Å
α = 90.00°, β = 90.00°, γ = 120.00°
Fractional coordinates of all 3 atoms:
Sr1 0.333 0.667 0.500
Hg1 0.667 0.333 0.000
Ni1 0.000 0.000 0.000



Here is an optimized crystal structure of BaPAu4 from Alexandria via LeMat-Bulk. Energies are from PBE.

ΔE to the lowest computed polymorph	175	meV per atom
formation energy from the elements	-169	meV per atom
space-group type	F-43m

a = 5.730 Å, b = 5.730 Å, c = 5.730 Å
α = 60.00°, β = 60.00°, γ = 60.00°
Fractional coordinates of all 6 atoms:
Au1 0.375 0.375 0.375
Au2 0.375 0.375 0.876
Au3 0.375 0.876 0.375
P1 0.000 0.000 0.000
Au4 0.876 0.375 0.375
Ba1 0.750 0.750 0.750



Here is an optimized crystal structure of Ce2PmSm6Y3 from Alexandria via LeMat-Bulk. Energies are from PBE.

formation energy from the elements	53	meV per atom
space-group type	C2/m

a = 6.235 Å, b = 6.235 Å, c = 11.930 Å
α = 95.01°, β = 95.01°, γ = 120.03°
Site moments in Bohr magnetons follow the coordinates.
Fractional coordinates of all 12 atoms:
Sm1 0.747 0.747 0.249  0.00
Sm2 0.083 0.420 0.249  0.00
Sm3 0.253 0.253 0.751  0.00
Pm1 0.000 0.000 0.000  0.02
Y1 0.500 0.500 0.500  -0.01
Sm4 0.420 0.083 0.249  0.00
Y2 0.834 0.166 0.500  -0.01
Sm5 0.917 0.580 0.751  0.00
Ce1 0.333 0.667 0.000  0.77
Y3 0.166 0.834 0.500  -0.01
Ce2 0.667 0.333 0.000  0.77
Sm6 0.580 0.917 0.751  0.00



Here is an optimized crystal structure of HfZrNi10 from Alexandria via LeMat-Bulk. Energies are from PBE.

formation energy from the elements	-288	meV per atom
space-group type	Pmmm

a = 3.961 Å, b = 4.738 Å, c = 8.189 Å
α = 90.00°, β = 90.00°, γ = 90.00°
Site moments in Bohr magnetons follow the coordinates.
Fractional coordinates of all 12 atoms:
Ni1 0.500 0.251 0.251  0.26
Ni2 0.000 0.000 0.665  0.17
Ni3 0.500 0.500 0.000  0.26
Ni4 0.000 0.000 0.335  0.17
Ni5 0.500 0.749 0.749  0.26
Ni6 0.000 0.500 0.832  0.17
Ni7 0.000 0.500 0.168  0.17
Zr1 0.000 0.000 0.000  -0.05
Ni8 0.500 0.000 0.500  0.27
Ni9 0.500 0.251 0.749  0.26
Ni10 0.500 0.749 0.251  0.26
Hf1 0.000 0.500 0.500  -0.05



Here is an optimized crystal structure of RbHS2O7 from Alexandria via LeMat-Bulk. Energies are from PBE.

E	-5.7245	eV/atom
space-group type	P2_1/c

a = 11.147 Å, b = 7.510 Å, c = 8.818 Å
α = 72.38°, β = 90.00°, γ = 90.00°
Fractional coordinates of all 44 atoms:
Rb1 0.799 0.344 0.032
O1 0.461 0.990 0.299
O2 0.569 0.320 0.851
O3 0.882 0.873 0.651
O4 0.431 0.680 0.149
Rb2 0.299 0.656 0.468
O5 0.176 0.940 0.185
O6 0.118 0.127 0.349
O7 0.128 0.477 0.294
O8 0.914 0.729 0.441
S1 0.943 0.678 0.610
O9 0.931 0.320 0.351
O10 0.410 0.256 0.554
H1 0.948 0.895 0.301
O11 0.628 0.523 0.206
H2 0.448 0.105 0.199
Rb3 0.201 0.656 0.968
S2 0.092 0.085 0.184
O12 0.382 0.127 0.849
O13 0.676 0.060 0.315
O14 0.324 0.940 0.685
S3 0.408 0.085 0.684
O15 0.590 0.744 0.446
O16 0.086 0.271 0.559
O17 0.539 0.010 0.701
H3 0.052 0.105 0.699
S4 0.443 0.322 0.890
O18 0.910 0.744 0.946
O19 0.414 0.271 0.059
H4 0.552 0.895 0.801
S5 0.057 0.322 0.390
O20 0.586 0.729 0.941
S6 0.557 0.678 0.110
O21 0.872 0.523 0.706
O22 0.039 0.990 0.799
Rb4 0.701 0.344 0.532
O23 0.961 0.010 0.201
O24 0.372 0.477 0.794
S7 0.592 0.915 0.316
O25 0.824 0.060 0.815
O26 0.069 0.680 0.649
O27 0.618 0.873 0.151
S8 0.908 0.915 0.816
O28 0.090 0.256 0.054



N(E_F) values, unit states/eV per atom, following the record order: 0.967 0.283 0.287 2.024 1.249 0.000.